Record 1
First-principles (PBE) data for a relaxed Li2Dy2Mg5Sc crystal, as listed in the Alexandria database.

Calculated values
ρ (g/cm³): 3.55
Energy of formation (meV/atom): -12

Cell: 10.575 10.575 4.223 Å, 90.00 90.00 90.00°
Element x y z (fractional)
Li: 0.117 0.383 0.000
Li: 0.383 0.883 0.000
Li: 0.617 0.117 0.000
Li: 0.883 0.617 0.000
Dy: 0.181 0.681 0.000
Dy: 0.319 0.181 0.000
Dy: 0.681 0.819 0.000
Dy: 0.819 0.319 0.000
Mg: 0.000 0.500 0.500
Mg: 0.059 0.208 0.500
Mg: 0.208 0.941 0.500
Mg: 0.292 0.441 0.500
Mg: 0.441 0.708 0.500
Mg: 0.500 0.000 0.500
Mg: 0.559 0.292 0.500
Mg: 0.708 0.559 0.500
Mg: 0.792 0.059 0.500
Mg: 0.941 0.792 0.500
Sc: 0.000 0.000 0.000
Sc: 0.500 0.500 0.000

---

Record 2
First-principles (PBE) data for a relaxed PmNdTmTh2 crystal, as listed in the Alexandria database.

Calculated values
ρ (g/cm³): 8.68
Energy of formation (meV/atom): 373

Cell: 8.529 8.529 6.712 Å, 90.00 90.00 133.72°
Element x y z (fractional)
Pm: 0.152 0.848 0.750
Pm: 0.848 0.152 0.250
Nd: 0.254 0.746 0.250
Nd: 0.746 0.254 0.750
Tm: 0.350 0.650 0.750
Tm: 0.650 0.350 0.250
Th: 0.252 0.252 0.000
Th: 0.252 0.252 0.500
Th: 0.748 0.748 0.000
Th: 0.748 0.748 0.500

---

no.,N(E_F) (states/eV/cell)
1,14.86
2,15.02